## Ce2NdIr (GGA-PBE)

Data for an optimized crystal structure of Ce2NdIr.

Cell lengths 3.6853, 3.6853, 7.8232 Å; angles 90.00, 90.00, 90.00 degrees
Last column: nearest neighbours and their distance in Å.
Fractional coordinates of all 4 atoms:
Ir  0.5000  0.5000  0.0000  8 Ce 2.99
Ce  0.0000  0.0000  0.8123  1 Ce 2.94, 4 Ir 2.99
Nd  0.5000  0.5000  0.5000  8 Ce 3.57, 4 Nd 3.69, 2 Ir 3.91
Ce  0.0000  0.0000  0.1877  1 Ce 2.94, 4 Ir 2.99

Values from the calculation:
Crystal system = tetragonal

=====

## Ce5Nd2Ir4 (GGA-PBE)

Data for an optimized crystal structure of Ce5Nd2Ir4.

Cell lengths 6.1407, 6.6287, 8.6185 Å; angles 62.72, 69.13, 62.41 degrees
Last column: nearest neighbours and their distance in Å.
Fractional coordinates of all 11 atoms:
Ce  0.3304  0.7474  0.0428  1 Ir 2.63, 2 Ce 2.77-2.80
Nd  0.2872  0.7976  0.6279  1 Ir 2.82
Ir  0.7721  0.7239  0.7318  1 Ce 2.64, 1 Ir 2.74
Ce  0.8795  0.7474  0.0428  1 Ir 2.63, 2 Ce 2.77-2.80
Ir  0.2279  0.2761  0.2682  1 Ce 2.64, 1 Ir 2.74
Ce  0.0000  0.5000  0.5000  2 Ir 2.64
Ce  0.1205  0.2526  0.9572  1 Ir 2.63, 2 Ce 2.77-2.80
Ce  0.6696  0.2526  0.9572  1 Ir 2.63, 2 Ce 2.77-2.80
Ir  0.5407  0.1941  0.7246  2 Ce 2.63, 1 Ir 2.74, 1 Nd 2.82
Ir  0.4593  0.8059  0.2754  2 Ce 2.63, 1 Ir 2.74, 1 Nd 2.82
Nd  0.7128  0.2024  0.3721  1 Ir 2.82

Values from the calculation:
Crystal system = monoclinic

=====

## Ce4Nd3Ir4 (GGA-PBE)

Data for an optimized crystal structure of Ce4Nd3Ir4.

Cell lengths 4.6900, 7.5643, 8.9273 Å; angles 115.07, 105.23, 90.00 degrees
Last column: nearest neighbours and their distance in Å.
Fractional coordinates of all 11 atoms:
Ce  0.6647  0.4473  0.3295  4 Ir 2.64-2.94
Nd  0.1003  0.1003  0.2006  1 Nd 3.11, 4 Ir 3.16, 4 Ce 3.33
Ce  0.3353  0.5527  0.6705  4 Ir 2.64-2.94
Ce  0.6647  0.8821  0.3295  4 Ir 2.64-2.94
Ir  0.7956  0.2956  0.5912  6 Ce 2.93-2.94, 1 Nd 3.16
Ir  0.2044  0.7044  0.4088  6 Ce 2.93-2.94, 1 Nd 3.16
Nd  0.0000  0.5000  0.0000  6 Ir 3.16-3.32
Ce  0.3353  0.1179  0.6705  4 Ir 2.64-2.94
Nd  0.8997  0.8997  0.7994  1 Nd 3.11, 4 Ir 3.16, 4 Ce 3.33
Ir  0.5000  0.8099  0.0000  2 Ce 2.64, 1 Ir 2.88
Ir  0.5000  0.1901  0.0000  2 Ce 2.64, 1 Ir 2.88

Values from the calculation:
Crystal system = orthorhombic

=====

## CeNd2Ir3 (GGA-PBE)

Data for an optimized crystal structure of CeNd2Ir3.

Cell lengths 4.0719, 5.8249, 7.1351 Å; angles 114.09, 106.58, 90.00 degrees
Last column: nearest neighbours and their distance in Å.
Fractional coordinates of all 6 atoms:
Ir  0.6532  0.6532  0.3064  2 Ce 2.78, 4 Nd 2.92-3.00
Ce  0.0000  0.5000  0.0000  6 Ir 2.78-2.91
Ir  0.3468  0.3468  0.6936  2 Ce 2.78, 4 Nd 2.92-3.00
Nd  0.3311  0.8311  0.6622  6 Ir 2.92-3.00
Ir  0.0000  0.0000  0.0000  2 Ce 2.91, 4 Nd 2.92
Nd  0.6689  0.1689  0.3378  6 Ir 2.92-3.00

Values from the calculation:
Crystal system = orthorhombic

=====

What formation energy from the elements values result from the calculations? In sequence: -0.29 -0.43 -0.55 -0.49 eV per atom.
What DFT total energy values result from the calculations? In sequence: -6.66 -7.22 -7.23 -7.50 eV per atom.